Record 1
VASP calculation (PBE) on a relaxed structure of Rb2Pd2Se3.

abc: 8.189 8.189 8.189
angles: 109.47 109.47 109.47
Atoms (fractional coordinates):
Pd1 0.781 0.781 0.781
Pd2 0.500 0.000 0.719
Pd3 0.719 0.500 0.000
Pd4 0.000 0.719 0.500
Se1 0.750 0.828 0.078
Se2 0.828 0.078 0.750
Se3 0.250 0.672 0.422
Se4 0.672 0.422 0.250
Se5 0.422 0.250 0.672
Se6 0.078 0.750 0.828
Rb1 0.201 0.201 0.201
Rb2 0.000 0.299 0.500
Rb3 0.500 0.000 0.299
Rb4 0.299 0.500 0.000

Values from the calculation:
- Excess energy over the best structure of this formula in the dataset: 10 meV/atom
- Total energy: -3.608 eV per atom



Record 2
VASP calculation (PBE) on a relaxed structure of LaScU.

abc: 5.000 5.000 5.000
angles: 60.00 60.00 60.00
Atoms (fractional coordinates):
U1 0.750 0.750 0.750
La1 0.000 0.000 0.000
Sc1 0.250 0.250 0.250

Values from the calculation:
- Excess energy over the best structure of this formula in the dataset: 0 meV/atom
- Total energy: -6.370 eV per atom
- Total moment: 1.41 μB per atom



Record 3
VASP calculation (PBE) on a relaxed structure of NiSe.

abc: 3.478 3.478 6.166
angles: 90.00 90.00 90.00
Atoms (fractional coordinates):
Ni1 0.000 0.500 0.500
Ni2 0.500 0.000 0.000
Se1 0.000 0.000 0.750
Se2 0.000 0.000 0.250

Values from the calculation:
- Total energy: -4.701 eV per atom
- Total moment: 0.00 μB per atom



Record 4
VASP calculation (PBE) on a relaxed structure of KLi4Pd2Pb.

abc: 4.818 4.818 6.648
angles: 90.00 90.00 90.00
Atoms (fractional coordinates):
Pd1 0.000 0.500 0.791
Pd2 0.500 0.000 0.209
Pb1 0.500 0.500 0.000
Li1 0.500 0.500 0.500
Li2 0.500 0.000 0.786
Li3 0.000 0.000 0.000
Li4 0.000 0.500 0.214
K1 0.000 0.000 0.500

Values from the calculation:
- Total energy: -3.036 eV per atom



Record 5
VASP calculation (PBE) on a relaxed structure of CsHfTe3Au.

abc: 9.924 9.924 9.713
angles: 91.88 91.88 23.98
Atoms (fractional coordinates):
Te1 0.312 0.312 0.103
Te2 0.500 0.500 0.500
Te3 0.679 0.679 0.293
Te4 0.000 0.000 0.000
Te5 0.321 0.321 0.707
Te6 0.688 0.688 0.897
Hf1 0.152 0.152 0.091
Hf2 0.848 0.848 0.909
Cs1 0.139 0.139 0.601
Cs2 0.861 0.861 0.399
Au1 0.543 0.543 0.211
Au2 0.457 0.457 0.789

Values from the calculation:
- Total energy: -4.493 eV per atom
- Total moment: 0.01 μB per atom



Record 6
VASP calculation (PBE) on a relaxed structure of LiGePd2.

abc: 5.514 7.513 5.948
angles: 90.00 90.00 90.00
Atoms (fractional coordinates):
Pd1 0.690 0.960 0.171
Pd2 0.190 0.040 0.329
Pd3 0.690 0.540 0.171
Pd4 0.310 0.040 0.829
Pd5 0.310 0.460 0.829
Pd6 0.190 0.460 0.329
Pd7 0.810 0.960 0.671
Pd8 0.810 0.540 0.671
Li1 0.449 0.750 0.456
Li2 0.551 0.250 0.544
Li3 0.051 0.750 0.956
Li4 0.949 0.250 0.044
Ge1 0.472 0.250 0.111
Ge2 0.028 0.250 0.611
Ge3 0.972 0.750 0.389
Ge4 0.528 0.750 0.889

Values from the calculation:
- Total energy: -4.771 eV per atom



Record 7
VASP calculation (PBE) on a relaxed structure of ErTmGa2Fe4.

abc: 4.180 4.180 9.150
angles: 90.00 90.00 120.00
Atoms (fractional coordinates):
Ga1 0.333 0.667 0.749
Ga2 0.333 0.667 0.251
Fe1 0.000 0.000 0.296
Fe2 0.000 0.000 0.704
Fe3 0.667 0.333 0.794
Fe4 0.667 0.333 0.206
Er1 0.000 0.000 0.000
Tm1 0.667 0.333 0.500

Values from the calculation:
- Excess energy over the best structure of this formula in the dataset: 160 meV/atom
- Total energy: -6.224 eV per atom
- Total moment: 0.92 μB per atom